Here is a crystal of Rb2NaAu2 relaxed with PBEsol from Alexandria. Energies are from meta-GGA SCAN.

Formation energy ... -0.30 eV/atom

Cell: 8.083 8.083 5.066 Å, 90.00 90.00 90.00°
Atoms (fractional coordinates):
1 Rb 0.169 0.331 0.000
2 Rb 0.331 0.831 0.000
3 Rb 0.669 0.169 0.000
4 Rb 0.831 0.669 0.000
5 Na 0.000 0.000 0.500
6 Na 0.500 0.500 0.500
7 Au 0.121 0.621 0.500
8 Au 0.379 0.121 0.500
9 Au 0.621 0.879 0.500
10 Au 0.879 0.379 0.500